DFT (PBE) results for USiSe after structural relaxation.

Computed properties:
**Density**: 9.2 g cm⁻³
**VASP energy**: -7.498 eV per atom

a = 8.6848 Å, b = 8.6848 Å, c = 8.6848 Å
α = 154.15°, β = 154.15°, γ = 36.89°
Last column: nearest neighbours and their distance in Å.
Fractional coordinates of all 6 atoms:
U: 0.1319 0.1319 0.0000  5 Se 2.88-3.04, 4 Si 2.92
U: 0.8681 0.8681 0.0000  5 Se 2.88-3.04, 4 Si 2.92
Si: 0.0000 0.5000 0.5000  4 Si 2.75, 4 U 2.92
Si: 0.5000 0.0000 0.5000  4 Si 2.75, 4 U 2.92
Se: 0.3161 0.3161 0.0000  5 U 2.88-3.04
Se: 0.6839 0.6839 0.0000  5 U 2.88-3.04

DFT (PBE) results for RbAgTe2WS after structural relaxation.

Computed properties:
**Density**: 6.2 g cm⁻³
**VASP energy**: -4.642 eV per atom

a = 8.8113 Å, b = 8.8113 Å, c = 9.8770 Å
α = 90.00°, β = 90.00°, γ = 152.39°
Last column: nearest neighbours and their distance in Å.
Fractional coordinates of all 12 atoms:
Rb: 0.2300 0.7700 0.7500  6 Te 3.66-3.78, 2 Ag 3.78
Rb: 0.7700 0.2300 0.2500  6 Te 3.66-3.78, 2 Ag 3.78
Ag: 0.4537 0.5463 0.2500  2 S 2.55, 2 Te 2.70
Ag: 0.5463 0.4537 0.7500  2 S 2.55, 2 Te 2.70
Te: 0.3857 0.6143 0.0034  1 Ag 2.70, 2 W 2.87
Te: 0.3857 0.6143 0.4966  1 Ag 2.70, 2 W 2.87
Te: 0.6143 0.3857 0.5034  1 Ag 2.70, 2 W 2.87
Te: 0.6143 0.3857 0.9966  1 Ag 2.70, 2 W 2.87
W: 0.0000 0.0000 0.0000  2 S 2.55
W: 0.0000 0.0000 0.5000  2 S 2.55
S: 0.0378 0.9622 0.2500  2 Ag 2.55, 2 W 2.55
S: 0.9622 0.0378 0.7500  2 Ag 2.55, 2 W 2.55

DFT (PBE) results for Tm7Te2Pd2 after structural relaxation.

Computed properties:
**Density**: 9.5 g cm⁻³
**VASP energy**: -5.205 eV per atom

a = 9.3144 Å, b = 9.3144 Å, c = 9.3144 Å
α = 155.87°, β = 67.12°, γ = 118.44°
Last column: nearest neighbours and their distance in Å.
Fractional coordinates of all 11 atoms:
Tm: 0.0000 0.0000 0.0000  3 Te 3.19-3.22
Tm: 0.2871 0.4166 0.8704  2 Pd 2.84, 3 Te 3.09-3.15
Tm: 0.3082 0.6253 0.6829  3 Pd 2.83-3.15, 1 Te 3.14
Tm: 0.5462 0.4166 0.1296  2 Pd 2.84, 3 Te 3.09-3.15
Tm: 0.6225 0.2661 0.3564  2 Pd 2.88, 2 Te 3.12
Tm: 0.9097 0.2661 0.6436  2 Pd 2.88, 2 Te 3.12
Tm: 0.9423 0.6253 0.3171  3 Pd 2.83-3.15, 1 Te 3.14
Te: 0.2650 0.7650 0.5000  8 Tm 3.14-3.19
Te: 0.6621 0.6621 0.0000  7 Tm 3.09-3.22
Pd: 0.1665 0.9293 0.2371  7 Tm 2.83-3.15
Pd: 0.6922 0.9293 0.7629  7 Tm 2.83-3.15

DFT (PBE) results for Cu2BiAs after structural relaxation.

Computed properties:
**Density**: 9.2 g cm⁻³
**VASP energy**: -3.767 eV per atom

a = 6.6582 Å, b = 6.6582 Å, c = 6.6582 Å
α = 90.00°, β = 90.00°, γ = 90.00°
Last column: nearest neighbours and their distance in Å.
Fractional coordinates of all 16 atoms:
Cu: 0.2149 0.2149 0.2149  4 As 2.48-2.77
Cu: 0.2149 0.2149 0.7851  4 As 2.48-2.77
Cu: 0.2149 0.7851 0.2149  4 As 2.48-2.77
Cu: 0.2149 0.7851 0.7851  4 As 2.48-2.77
Cu: 0.7851 0.2149 0.2149  4 As 2.48-2.77
Cu: 0.7851 0.2149 0.7851  4 As 2.48-2.77
Cu: 0.7851 0.7851 0.2149  4 As 2.48-2.77
Cu: 0.7851 0.7851 0.7851  4 As 2.48-2.77
Bi: 0.0000 0.5000 0.5000  8 Cu 3.04, 2 Bi 3.33, 4 As 3.33
Bi: 0.5000 0.0000 0.5000  8 Cu 3.04, 2 Bi 3.33, 4 As 3.33
Bi: 0.5000 0.5000 0.0000  8 Cu 3.04, 2 Bi 3.33, 4 As 3.33
Bi: 0.5000 0.5000 0.5000  8 Cu 3.29, 6 Bi 3.33
As: 0.0000 0.0000 0.0000  8 Cu 2.48
As: 0.0000 0.0000 0.5000  8 Cu 2.77
As: 0.0000 0.5000 0.0000  8 Cu 2.77
As: 0.5000 0.0000 0.0000  8 Cu 2.77

Question: Among the records above, which one has the lowest VASP energy?
Answer: USiSe

Question: Which of these has the highest density?
Answer: Tm7Te2Pd2

Question: The lowest density belongs to which entry?
Answer: RbAgTe2WS